A plane-wave DFT calculation with GGA-PBEsol was carried out for a geometry-optimized LaTl3Tc structure.

abc: 5.1770 5.1770 5.1770
angles: 90.00 90.00 90.00
Closest atoms and distances in Å follow each position.
Sites, in units of the cell vectors:
La: 0.0000 0.0000 0.0000  12 Tl 3.66
Tl: 0.0000 0.5000 0.5000  2 Tc 2.59
Tl: 0.5000 0.0000 0.5000  2 Tc 2.59
Tl: 0.5000 0.5000 0.0000  2 Tc 2.59
Tc: 0.5000 0.5000 0.5000  6 Tl 2.59

Results
The magnetic moment is 0.000 μB per cell. As for the density: 10.17 g cm⁻³. The final energy is -4.6679 eV per atom.